# PBE PtBr2Cl, relaxed
# total moment	0.2295	μB/atom
# formation energy without anion corrections	0.15	eV/atom
# total energy	-2.660	eV per atom
# relative energy among the computed polymorphs	383	meV/atom
# crystal system	trigonal
data_PtBr2Cl
_symmetry_space_group_name_H-M 'R 3 m'
_symmetry_Int_Tables_number 160
_symmetry_space_group_name_Hall 'R 3 -2"'
_cell_length_a 3.8490
_cell_length_b 3.8490
_cell_length_c 22.8376
_cell_angle_alpha 90.00
_cell_angle_beta 90.00
_cell_angle_gamma 120.00
loop_
_atom_site_label
_atom_site_fract_x
_atom_site_fract_y
_atom_site_fract_z
Pt1 0.0000 0.0000 0.0000
Br1 0.0000 0.0000 0.4884
Br2 0.0000 0.0000 0.7268
Cl1 0.0000 0.0000 0.2781